*1*
Material: AgPAu
Method: DFT, PBE
State: optimized geometry

```
data_AgPAu
_chemical_formula_sum 'Ag1 P1 Au1'
_space_group_name_H-M_alt 'P -6 m 2'
_space_group_IT_number 187
_space_group_name_Hall 'P -6 2'
_cell_length_a 4.2373
_cell_length_b 4.2373
_cell_length_c 3.5880
_cell_angle_alpha 90.00
_cell_angle_beta 90.00
_cell_angle_gamma 120.00
loop_
_atom_site_label
_atom_site_type_symbol
_atom_site_fract_x
_atom_site_fract_y
_atom_site_fract_z
_atom_site_occupancy
Ag1 Ag 0.0000 0.0000 0.0000 1
P1 P 0.3333 0.6667 0.5000 1
Au1 Au 0.6667 0.3333 0.5000 1
```

*2*
Material: AgPAu
Method: DFT, PBE
State: optimized geometry

```
data_AgPAu
_chemical_formula_sum 'Ag1 P1 Au1'
_space_group_name_H-M_alt 'P 3 m 1'
_space_group_IT_number 156
_space_group_name_Hall 'P 3 -2"'
_cell_length_a 3.0750
_cell_length_b 3.0750
_cell_length_c 6.3363
_cell_angle_alpha 90.00
_cell_angle_beta 90.00
_cell_angle_gamma 120.00
loop_
_atom_site_label
_atom_site_type_symbol
_atom_site_fract_x
_atom_site_fract_y
_atom_site_fract_z
_atom_site_occupancy
Ag1 Ag 0.0000 0.0000 0.0000 1
P1 P 0.3333 0.6667 0.6737 1
Au1 Au 0.6667 0.3333 0.3649 1
```

It is *1* that is most stable; the runner-up trails by 4.2 kJ/mol of atoms.

*1*
Material: TbCeZr2
Method: DFT, PBE
State: optimized geometry

```
data_TbCeZr2
_chemical_formula_sum 'Tb3 Ce3 Zr6'
_space_group_name_H-M_alt 'R -3 m'
_space_group_IT_number 166
_space_group_name_Hall '-R 3 2"'
_cell_length_a 3.2776
_cell_length_b 3.2776
_cell_length_c 34.6430
_cell_angle_alpha 90.00
_cell_angle_beta 90.00
_cell_angle_gamma 120.00
loop_
_atom_site_label
_atom_site_type_symbol
_atom_site_fract_x
_atom_site_fract_y
_atom_site_fract_z
_atom_site_occupancy
Tb1 Tb 0.0000 0.0000 0.0000 1
Ce1 Ce 0.0000 0.0000 0.5000 1
Zr1 Zr 0.0000 0.0000 0.0903 1
```

*2*
Material: TbCeZr2
Method: DFT, PBE
State: optimized geometry

```
data_TbCeZr2
_chemical_formula_sum 'Tb1 Ce1 Zr2'
_space_group_name_H-M_alt 'P 4/m m m'
_space_group_IT_number 123
_space_group_name_Hall '-P 4 2'
_cell_length_a 3.904
_cell_length_b 3.904
_cell_length_c 6.919
_cell_angle_alpha 90.00
_cell_angle_beta 90.00
_cell_angle_gamma 90.00
loop_
_atom_site_label
_atom_site_type_symbol
_atom_site_fract_x
_atom_site_fract_y
_atom_site_fract_z
_atom_site_occupancy
Tb1 Tb 0.000 0.000 0.000 1
Ce1 Ce 0.000 0.000 0.500 1
Zr1 Zr 0.500 0.500 0.285 1
```

It is *2* that is most stable; the runner-up trails by 13.6 kJ/mol of atoms.

*1*
Material: PrHoPt
Method: DFT, PBE
State: optimized geometry

```
data_PrHoPt
_chemical_formula_sum 'Pr4 Ho4 Pt4'
_space_group_name_H-M_alt 'P 1 21/c 1'
_space_group_IT_number 14
_space_group_name_Hall '-P 2ybc'
_cell_length_a 7.038
_cell_length_b 5.934
_cell_length_c 10.646
_cell_angle_alpha 90.00
_cell_angle_beta 126.61
_cell_angle_gamma 90.00
loop_
_atom_site_label
_atom_site_type_symbol
_atom_site_fract_x
_atom_site_fract_y
_atom_site_fract_z
_atom_site_occupancy
Pr1 Pr 0.189 0.144 0.384 1
Ho1 Ho 0.334 0.622 0.635 1
Pt1 Pt 0.327 0.658 0.365 1
```

*2*
Material: PrHoPt
Method: DFT, PBE
State: optimized geometry

```
data_PrHoPt
_chemical_formula_sum 'Pr4 Ho4 Pt4'
_space_group_name_H-M_alt 'C m c m'
_space_group_IT_number 63
_space_group_name_Hall '-C 2c 2'
_cell_length_a 3.842
_cell_length_b 12.157
_cell_length_c 7.037
_cell_angle_alpha 90.00
_cell_angle_beta 90.00
_cell_angle_gamma 90.00
loop_
_atom_site_label
_atom_site_type_symbol
_atom_site_fract_x
_atom_site_fract_y
_atom_site_fract_z
_atom_site_occupancy
Pr1 Pr 0.000 0.213 0.250 1
Ho1 Ho 0.000 0.500 0.000 1
Pt1 Pt 0.000 0.104 0.750 1
```

It is *2* that is most stable; the runner-up trails by 12.0 kJ/mol of atoms.

*1*
Material: CeTmTc
Method: DFT, PBE
State: optimized geometry

```
data_CeTmTc
_chemical_formula_sum 'Ce1 Tm1 Tc1'
_space_group_name_H-M_alt 'P 3 m 1'
_space_group_IT_number 156
_space_group_name_Hall 'P 3 -2"'
_cell_length_a 4.7134
_cell_length_b 4.7134
_cell_length_c 3.4457
_cell_angle_alpha 90.00
_cell_angle_beta 90.00
_cell_angle_gamma 120.00
loop_
_atom_site_label
_atom_site_type_symbol
_atom_site_fract_x
_atom_site_fract_y
_atom_site_fract_z
_atom_site_occupancy
Ce1 Ce 0.0000 0.0000 0.0000 1
Tm1 Tm 0.6667 0.3333 0.4348 1
Tc1 Tc 0.3333 0.6667 0.7743 1
```

*2*
Material: CeTmTc
Method: DFT, PBE
State: optimized geometry

```
data_CeTmTc
_chemical_formula_sum 'Ce4 Tm4 Tc4'
_space_group_name_H-M_alt 'C 1 2/m 1'
_space_group_IT_number 12
_space_group_name_Hall '-C 2y'
_cell_length_a 10.783
_cell_length_b 4.874
_cell_length_c 6.898
_cell_angle_alpha 90.00
_cell_angle_beta 128.51
_cell_angle_gamma 90.00
loop_
_atom_site_label
_atom_site_type_symbol
_atom_site_fract_x
_atom_site_fract_y
_atom_site_fract_z
_atom_site_occupancy
Ce1 Ce 0.089 0.000 0.321 1
Tm1 Tm 0.180 0.500 0.066 1
Tc1 Tc 0.147 0.500 0.610 1
```

It is *2* that is most stable; the runner-up trails by 8.3 kJ/mol of atoms.

*1*
Material: B2C
Method: DFT, PBE
State: optimized geometry

```
data_B2C
_chemical_formula_sum 'B8 C4'
_space_group_name_H-M_alt 'P 3 m 1'
_space_group_IT_number 156
_space_group_name_Hall 'P 3 -2"'
_cell_length_a 2.7093
_cell_length_b 2.7093
_cell_length_c 16.6616
_cell_angle_alpha 90.00
_cell_angle_beta 90.00
_cell_angle_gamma 120.00
loop_
_atom_site_label
_atom_site_type_symbol
_atom_site_fract_x
_atom_site_fract_y
_atom_site_fract_z
_atom_site_occupancy
B1 B 0.0000 0.0000 0.0000 1
B2 B 0.0000 0.0000 0.1046 1
B3 B 0.0000 0.0000 0.4961 1
B4 B 0.3333 0.6667 0.3342 1
B5 B 0.3333 0.6667 0.5972 1
B6 B 0.3333 0.6667 0.8398 1
B7 B 0.6667 0.3333 0.4356 1
B8 B 0.6667 0.3333 0.9408 1
C1 C 0.0000 0.0000 0.5901 1
C2 C 0.3333 0.6667 0.1069 1
C3 C 0.6667 0.3333 0.3417 1
C4 C 0.6667 0.3333 0.8467 1
```

*2*
Material: B2C
Method: DFT, PBE
State: optimized geometry

```
data_B2C
_chemical_formula_sum 'B16 C8'
_space_group_name_H-M_alt 'C 1 m 1'
_space_group_IT_number 8
_space_group_name_Hall 'C -2y'
_cell_length_a 14.390
_cell_length_b 2.697
_cell_length_c 4.715
_cell_angle_alpha 90.00
_cell_angle_beta 107.86
_cell_angle_gamma 90.00
loop_
_atom_site_label
_atom_site_type_symbol
_atom_site_fract_x
_atom_site_fract_y
_atom_site_fract_z
_atom_site_occupancy
B1 B 0.000 0.000 0.000 1
B2 B 0.002 0.500 0.567 1
B3 B 0.067 0.000 0.416 1
B4 B 0.163 0.500 0.999 1
B5 B 0.186 0.000 0.591 1
B6 B 0.269 0.500 0.773 1
B7 B 0.352 0.000 0.092 1
B8 B 0.374 0.500 0.588 1
C1 C 0.051 0.500 0.951 1
C2 C 0.222 0.000 0.969 1
C3 C 0.381 0.500 0.940 1
C4 C 0.387 0.000 0.443 1
```

It is *1* that is most stable; the runner-up trails by 14.7 kJ/mol of atoms.

*1*
Material: SiAuSe2Br
Method: DFT, PBE
State: optimized geometry

```
data_SiAuSe2Br
_chemical_formula_sum 'Si1 Au1 Se2 Br1'
_space_group_name_H-M_alt 'P 4/m m m'
_space_group_IT_number 123
_space_group_name_Hall '-P 4 2'
_cell_length_a 5.123
_cell_length_b 5.123
_cell_length_c 5.117
_cell_angle_alpha 90.00
_cell_angle_beta 90.00
_cell_angle_gamma 90.00
loop_
_atom_site_label
_atom_site_type_symbol
_atom_site_fract_x
_atom_site_fract_y
_atom_site_fract_z
_atom_site_occupancy
Si1 Si 0.000 0.000 0.000 1
Au1 Au 0.500 0.500 0.500 1
Se1 Se 0.000 0.500 0.500 1
Br1 Br 0.500 0.500 0.000 1
```

*2*
Material: SiAuSe2Br
Method: DFT, PBE
State: optimized geometry

```
data_SiAuSe2Br
_chemical_formula_sum 'Si1 Au1 Se2 Br1'
_space_group_name_H-M_alt 'P 4/m m m'
_space_group_IT_number 123
_space_group_name_Hall '-P 4 2'
_cell_length_a 4.907
_cell_length_b 4.907
_cell_length_c 4.903
_cell_angle_alpha 90.00
_cell_angle_beta 90.00
_cell_angle_gamma 90.00
loop_
_atom_site_label
_atom_site_type_symbol
_atom_site_fract_x
_atom_site_fract_y
_atom_site_fract_z
_atom_site_occupancy
Si1 Si 0.000 0.000 0.000 1
Au1 Au 0.500 0.500 0.500 1
Se1 Se 0.000 0.500 0.000 1
Br1 Br 0.000 0.000 0.500 1
```

It is *2* that is most stable; the runner-up trails by 22.6 kJ/mol of atoms.